1.
An optimized crystal structure of Li2YGeH. Source: the Alexandria database, functional GGA-PBE.

a = 4.136 Å, b = 4.136 Å, c = 4.674 Å
α = 90.00°, β = 90.00°, γ = 90.00°
Space group P4/mmm (No. 123)
Symmetry-distinct sites (fractional):
Li (0.000, 0.500, 0.000) [2 per cell]
Y (0.000, 0.000, 0.500) [1 per cell]
Ge (0.500, 0.500, 0.500) [1 per cell]
H (0.000, 0.000, 0.000) [1 per cell]

Computed properties:
ρ (Mg/m³): 3.665
Calculated total energy (eV/f.u.): -20.9
N(E_F) (states/eV per atom): 0.2397
Spin magnetization (μB/cell): 0.00

---

2.
An optimized crystal structure of Ba2MnBr. Source: the Alexandria database, functional GGA-PBE.

a = 4.631 Å, b = 4.975 Å, c = 6.881 Å
α = 90.00°, β = 90.00°, γ = 90.00°
Space group Pmmm (No. 47)
Symmetry-distinct sites (fractional):
Ba (0.000, 0.000, 0.000) [1 per cell]
Ba (0.500, 0.500, 0.500) [1 per cell]
Mn (0.000, 0.000, 0.500) [1 per cell]
Br (0.500, 0.500, 0.000) [1 per cell]

Computed properties:
Energy relative to the lowest polymorph listed for this composition (eV per formula unit): 0.16
ρ (Mg/m³): 4.290
Calculated total energy (eV/f.u.): -16.2
N(E_F) (states/eV per atom): 1.0829
Spin magnetization (μB/cell): 3.13

---

3.
An optimized crystal structure of Ba2Au. Source: the Alexandria database, functional GGA-PBE.

a = 16.245 Å, b = 4.405 Å, c = 8.258 Å
α = 90.00°, β = 112.62°, γ = 90.00°
Space group C2/m (No. 12)
Symmetry-distinct sites (fractional):
Ba (0.024, 0.000, 0.249) [4 per cell]
Ba (0.221, 0.500, 0.757) [4 per cell]
Au (0.115, 0.500, 0.044) [4 per cell]

Computed properties:
ρ (Mg/m³): 5.743
Calculated total energy (eV/f.u.): -8.6
Formation enthalpy at 0 K (meV/atom): -501
N(E_F) (states/eV per atom): 1.0237
Spin magnetization (μB/cell): 0.00

---

4.
An optimized crystal structure of Hf3AsSe. Source: the Alexandria database, functional GGA-PBE.

a = 4.908 Å, b = 4.908 Å, c = 4.908 Å
α = 90.00°, β = 90.00°, γ = 90.00°
Space group Pm-3m (No. 221)
Symmetry-distinct sites (fractional):
Hf (0.000, 0.000, 0.500) [3 per cell]
As (0.500, 0.500, 0.500) [1 per cell]
Se (0.000, 0.000, 0.000) [1 per cell]

Computed properties:
Energy relative to the lowest polymorph listed for this composition (eV per formula unit): 0.00
ρ (Mg/m³): 9.680
Calculated total energy (eV/f.u.): -36.4
N(E_F) (states/eV per atom): 0.6660
Spin magnetization (μB/cell): 0.00

---

5.
An optimized crystal structure of MnCuPPd2. Source: the Alexandria database, functional GGA-PBE.

a = 4.529 Å, b = 4.529 Å, c = 4.236 Å
α = 90.00°, β = 90.00°, γ = 90.00°
Space group P4/mmm (No. 123)
Symmetry-distinct sites (fractional):
Mn (0.000, 0.000, 0.000) [1 per cell]
Cu (0.500, 0.500, 0.000) [1 per cell]
P (0.500, 0.500, 0.500) [1 per cell]
Pd (0.000, 0.500, 0.500) [2 per cell]

Computed properties:
ρ (Mg/m³): 6.923
Calculated total energy (eV/f.u.): -28.8
Formation enthalpy at 0 K (meV/atom): 57
N(E_F) (states/eV per atom): 0.3238
Spin magnetization (μB/cell): 4.74

---

6.
An optimized crystal structure of ZrCo2Au. Source: the Alexandria database, functional GGA-PBE.

a = 4.027 Å, b = 4.027 Å, c = 3.632 Å
α = 90.00°, β = 90.00°, γ = 90.00°
Space group P4/mmm (No. 123)
Symmetry-distinct sites (fractional):
Zr (0.000, 0.000, 0.000) [1 per cell]
Co (0.000, 0.500, 0.500) [2 per cell]
Au (0.500, 0.500, 0.000) [1 per cell]

Computed properties:
Energy relative to the lowest polymorph listed for this composition (eV per formula unit): 0.00
ρ (Mg/m³): 11.446
Calculated total energy (eV/f.u.): -27.0
Formation enthalpy at 0 K (meV/atom): -232
N(E_F) (states/eV per atom): 0.5796
Spin magnetization (μB/cell): 0.80

---

7.
An optimized crystal structure of Th3Sb2H2. Source: the Alexandria database, functional GGA-PBE.

a = 6.345 Å, b = 7.259 Å, c = 8.085 Å
α = 90.00°, β = 116.78°, γ = 90.00°
Space group P2_1/c (No. 14)
Symmetry-distinct sites (fractional):
Th (0.000, 0.000, 0.000) [2 per cell]
Th (0.345, 0.085, 0.748) [4 per cell]
Sb (0.240, 0.670, 0.898) [4 per cell]
H (0.355, 0.137, 0.072) [4 per cell]

Computed properties:
ρ (Mg/m³): 9.406
Calculated total energy (eV/f.u.): -41.1
N(E_F) (states/eV per atom): 0.5708
Spin magnetization (μB/cell): 0.00

---

8.
An optimized crystal structure of KTcO3. Source: the Alexandria database, functional GGA-PBE.

a = 4.863 Å, b = 6.219 Å, c = 6.714 Å
α = 69.31°, β = 86.78°, γ = 87.38°
Space group P-1 (No. 2)
Symmetry-distinct sites (fractional):
K (0.222, 0.401, 0.277) [2 per cell]
Tc (0.288, 0.010, 0.902) [2 per cell]
O (0.227, 0.288, 0.712) [2 per cell]
O (0.248, 0.744, 0.867) [2 per cell]
O (0.284, 0.988, 0.186) [2 per cell]

Computed properties:
ρ (Mg/m³): 3.243
Calculated total energy (eV/f.u.): -33.8
N(E_F) (states/eV per atom): 0.3222
Spin magnetization (μB/cell): 0.84

---

9.
An optimized crystal structure of NpBiP. Source: the Alexandria database, functional GGA-PBE.

a = 4.279 Å, b = 15.635 Å, c = 4.335 Å
α = 90.00°, β = 90.00°, γ = 90.00°
Space group Cmcm (No. 63)
Symmetry-distinct sites (fractional):
Np (0.000, 0.084, 0.250) [4 per cell]
Bi (0.000, 0.249, 0.750) [4 per cell]
P (0.000, 0.462, 0.250) [4 per cell]

Computed properties:
ρ (Mg/m³): 10.925
Calculated total energy (eV/f.u.): -22.9
Formation enthalpy at 0 K (meV/atom): -234
N(E_F) (states/eV per atom): 2.2775
Spin magnetization (μB/cell): 16.32

---

10.
An optimized crystal structure of Na2PbCl. Source: the Alexandria database, functional GGA-PBE.

a = 7.750 Å, b = 7.750 Å, c = 7.750 Å
α = 90.00°, β = 90.00°, γ = 90.00°
Space group Fm-3m (No. 225)
Symmetry-distinct sites (fractional):
Na (0.250, 0.250, 0.250) [8 per cell]
Pb (0.000, 0.000, 0.000) [4 per cell]
Cl (0.000, 0.000, 0.500) [4 per cell]

Computed properties:
Energy relative to the lowest polymorph listed for this composition (eV per formula unit): 2.12
ρ (Mg/m³): 4.118
Calculated total energy (eV/f.u.): -9.5
N(E_F) (states/eV per atom): 1.2931
Spin magnetization (μB/cell): 4.83

---

11.
An optimized crystal structure of K2TlCl. Source: the Alexandria database, functional GGA-PBE.

a = 9.135 Å, b = 9.135 Å, c = 8.014 Å
α = 90.00°, β = 90.00°, γ = 90.00°
Space group I-42d (No. 122)
Symmetry-distinct sites (fractional):
K (0.186, 0.250, 0.125) [8 per cell]
Tl (0.000, 0.000, 0.500) [4 per cell]
Cl (0.000, 0.000, 0.000) [4 per cell]

Computed properties:
Energy relative to the lowest polymorph listed for this composition (eV per formula unit): 0.62
ρ (Mg/m³): 3.159
Calculated total energy (eV/f.u.): -9.4
N(E_F) (states/eV per atom): 0.0455
Spin magnetization (μB/cell): 0.00

---

12.
An optimized crystal structure of PrPdBr6. Source: the Alexandria database, functional GGA-PBE.

a = 6.730 Å, b = 6.765 Å, c = 7.319 Å
α = 62.52°, β = 65.84°, γ = 63.38°
Space group P-1 (No. 2)
Symmetry-distinct sites (fractional):
Pr (0.000, 0.000, 0.000) [1 per cell]
Pd (0.500, 0.500, 0.500) [1 per cell]
Br (0.100, 0.731, 0.743) [2 per cell]
Br (0.280, 0.553, 0.264) [2 per cell]
Br (0.438, 0.108, 0.733) [2 per cell]

Computed properties:
ρ (Mg/m³): 4.723
Calculated total energy (eV/f.u.): -27.4
N(E_F) (states/eV per atom): 0.2506
Spin magnetization (μB/cell): 0.93

---

no.,volume (Å³ per cell)
1,80
2,159
3,545
4,118
5,87
6,59
7,332
8,190
9,290
10,466
11,669
12,256